Computed, not measured: a relaxed structure of CaNpNi2O6 at the PBE+U level of DFT.

Summary:
The total energy comes out at -7.072 eV/atom. As for the spin magnetization: 3.00 μB per formula unit.

abc: 5.5904 5.5747 9.8050
angles: 90.00 124.07 90.00
Closest atoms and distances in Å follow each position.
Element x y z (fractional)
Ca 0.0000 0.0000 0.0000  2 O 2.20
Ca 0.0000 0.5000 0.5000  2 O 2.20
Np 0.5000 0.0000 0.5000  6 O 2.05-2.14
Np 0.5000 0.5000 0.0000  6 O 2.05-2.14
Ni 0.1819 0.0176 0.7107  4 O 2.00-2.07
Ni 0.1819 0.4824 0.2107  4 O 2.00-2.07
Ni 0.8181 0.5176 0.7893  4 O 2.00-2.07
Ni 0.8181 0.9824 0.2893  4 O 2.00-2.07
O 0.1356 0.1418 0.2756  2 Ni 2.06, 1 Np 2.14
O 0.1356 0.3582 0.7756  2 Ni 2.06, 1 Np 2.14
O 0.2079 0.6488 0.0391  1 Ni 2.00, 1 Np 2.05, 1 Ca 2.20
O 0.2079 0.8512 0.5391  1 Ni 2.00, 1 Np 2.05, 1 Ca 2.20
O 0.4853 0.1970 0.1140  1 Np 2.05, 1 Ni 2.07
O 0.4853 0.3030 0.6140  1 Np 2.05, 1 Ni 2.07
O 0.5147 0.6970 0.3860  1 Np 2.05, 1 Ni 2.07
O 0.5147 0.8030 0.8860  1 Np 2.05, 1 Ni 2.07
O 0.7921 0.1488 0.4609  1 Ni 2.00, 1 Np 2.05, 1 Ca 2.20
O 0.7921 0.3512 0.9609  1 Ni 2.00, 1 Np 2.05, 1 Ca 2.20
O 0.8644 0.6418 0.2244  2 Ni 2.06, 1 Np 2.14
O 0.8644 0.8582 0.7244  2 Ni 2.06, 1 Np 2.14